1 | A plane-wave DFT calculation with PBE was carried out for crystalline BeSeN2 at its relaxed geometry.

Lattice parameters (Å, degrees): 2.9499 2.9499 16.3250 90.00 90.00 120.00
Space group R-3m (No. 166, hexagonal axes)
Inequivalent atoms, fractional coordinates:
Be: 0.0000 0.0000 0.0000 (multiplicity 3)
Se: 0.0000 0.0000 0.5000 (multiplicity 3)
N: 0.0000 0.0000 0.3873 (multiplicity 6)

Computed properties:
N(E_F) = 6.468 states/eV/cell

***

2 | A plane-wave DFT calculation with PBE was carried out for crystalline BeSeN2 at its relaxed geometry.

Lattice parameters (Å, degrees): 5.328 5.328 5.328 90.00 90.00 90.00
Space group Fm-3m (No. 225)
Inequivalent atoms, fractional coordinates:
Be: 0.000 0.000 0.000 (multiplicity 4)
Se: 0.000 0.000 0.500 (multiplicity 4)
N: 0.250 0.250 0.250 (multiplicity 8)

Computed properties:
N(E_F) = 5.763 states/eV/cell

***

What should be chosen as the least stable of them? Choose 2.

***

1 | A plane-wave DFT calculation with PBE was carried out for crystalline BeSe2N at its relaxed geometry.

Lattice parameters (Å, degrees): 3.6707 3.6707 17.8425 90.00 90.00 120.00
Space group R-3m (No. 166, hexagonal axes)
Inequivalent atoms, fractional coordinates:
Be: 0.0000 0.0000 0.0000 (multiplicity 3)
Se: 0.0000 0.0000 0.4020 (multiplicity 6)
N: 0.0000 0.0000 0.5000 (multiplicity 3)

Computed properties:
N(E_F) = 3.855 states/eV/cell

***

2 | A plane-wave DFT calculation with PBE was carried out for crystalline BeSe2N at its relaxed geometry.

Lattice parameters (Å, degrees): 6.026 6.026 6.026 90.00 90.00 90.00
Space group Fm-3m (No. 225)
Inequivalent atoms, fractional coordinates:
Be: 0.000 0.000 0.000 (multiplicity 4)
Se: 0.250 0.250 0.250 (multiplicity 8)
N: 0.000 0.000 0.500 (multiplicity 4)

Computed properties:
N(E_F) = 9.411 states/eV/cell

***

What should be chosen as the least stable of them? Choose 2.

***

1 | A plane-wave DFT calculation with PBE was carried out for crystalline BeSnSeN2 at its relaxed geometry.

Lattice parameters (Å, degrees): 3.845 3.845 4.933 90.00 90.00 90.00
Space group P4/mmm (No. 123)
Inequivalent atoms, fractional coordinates:
Be: 0.000 0.000 0.000 (multiplicity 1)
Sn: 0.500 0.500 0.500 (multiplicity 1)
Se: 0.000 0.000 0.500 (multiplicity 1)
N: 0.000 0.500 0.000 (multiplicity 2)

Computed properties:
N(E_F) = 2.644 states/eV/cell

***

2 | A plane-wave DFT calculation with PBE was carried out for crystalline BeSnSeN2 at its relaxed geometry.

Lattice parameters (Å, degrees): 3.996 3.996 5.944 90.00 90.00 90.00
Space group P4/mmm (No. 123)
Inequivalent atoms, fractional coordinates:
Be: 0.000 0.000 0.000 (multiplicity 1)
Sn: 0.500 0.500 0.500 (multiplicity 1)
Se: 0.500 0.500 0.000 (multiplicity 1)
N: 0.000 0.500 0.500 (multiplicity 2)

Computed properties:
N(E_F) = 2.880 states/eV/cell

***

What should be chosen as the least stable of them? Choose 2.

***

1 | A plane-wave DFT calculation with PBE was carried out for crystalline BeSnSe2N at its relaxed geometry.

Lattice parameters (Å, degrees): 5.335 5.335 3.994 90.00 90.00 90.00
Space group P4/mmm (No. 123)
Inequivalent atoms, fractional coordinates:
Be: 0.000 0.000 0.000 (multiplicity 1)
Sn: 0.500 0.500 0.500 (multiplicity 1)
Se: 0.000 0.500 0.500 (multiplicity 2)
N: 0.500 0.500 0.000 (multiplicity 1)

Computed properties:
N(E_F) = 3.497 states/eV/cell

***

2 | A plane-wave DFT calculation with PBE was carried out for crystalline BeSnSe2N at its relaxed geometry.

Lattice parameters (Å, degrees): 5.276 5.276 3.191 90.00 90.00 90.00
Space group P4/mmm (No. 123)
Inequivalent atoms, fractional coordinates:
Be: 0.000 0.000 0.000 (multiplicity 1)
Sn: 0.500 0.500 0.500 (multiplicity 1)
Se: 0.000 0.500 0.000 (multiplicity 2)
N: 0.000 0.000 0.500 (multiplicity 1)

Computed properties:
N(E_F) = 2.841 states/eV/cell

***

What should be chosen as the least stable of them? Choose 1.

***

1 | A plane-wave DFT calculation with PBE was carried out for crystalline BeTcSeN2 at its relaxed geometry.

Lattice parameters (Å, degrees): 3.565 3.565 4.669 90.00 90.00 90.00
Space group P4/mmm (No. 123)
Inequivalent atoms, fractional coordinates:
Be: 0.000 0.000 0.000 (multiplicity 1)
Tc: 0.500 0.500 0.500 (multiplicity 1)
Se: 0.000 0.000 0.500 (multiplicity 1)
N: 0.000 0.500 0.000 (multiplicity 2)

Computed properties:
N(E_F) = 3.987 states/eV/cell

***

2 | A plane-wave DFT calculation with PBE was carried out for crystalline BeTcSeN2 at its relaxed geometry.

Lattice parameters (Å, degrees): 3.758 3.758 5.522 90.00 90.00 90.00
Space group P4/mmm (No. 123)
Inequivalent atoms, fractional coordinates:
Be: 0.000 0.000 0.000 (multiplicity 1)
Tc: 0.500 0.500 0.500 (multiplicity 1)
Se: 0.500 0.500 0.000 (multiplicity 1)
N: 0.000 0.500 0.500 (multiplicity 2)

Computed properties:
N(E_F) = 4.354 states/eV/cell

***

What should be chosen as the least stable of them? Choose 1.

***

1 | A plane-wave DFT calculation with PBE was carried out for crystalline BeTeSeN2 at its relaxed geometry.

Lattice parameters (Å, degrees): 3.918 3.918 4.672 90.00 90.00 90.00
Space group P4/mmm (No. 123)
Inequivalent atoms, fractional coordinates:
Be: 0.000 0.000 0.000 (multiplicity 1)
Te: 0.500 0.500 0.500 (multiplicity 1)
Se: 0.000 0.000 0.500 (multiplicity 1)
N: 0.000 0.500 0.000 (multiplicity 2)

Computed properties:
N(E_F) = 3.270 states/eV/cell

***

2 | A plane-wave DFT calculation with PBE was carried out for crystalline BeTeSeN2 at its relaxed geometry.

Lattice parameters (Å, degrees): 3.852 3.852 6.131 90.00 90.00 90.00
Space group P4/mmm (No. 123)
Inequivalent atoms, fractional coordinates:
Be: 0.000 0.000 0.000 (multiplicity 1)
Te: 0.500 0.500 0.500 (multiplicity 1)
Se: 0.500 0.500 0.000 (multiplicity 1)
N: 0.000 0.500 0.500 (multiplicity 2)

Computed properties:
N(E_F) = 0.309 states/eV/cell

***

3 | A plane-wave DFT calculation with PBE was carried out for crystalline BeTeSeN2 at its relaxed geometry.

Lattice parameters (Å, degrees): 3.695 3.695 7.903 90.00 90.00 90.00
Space group P4/mmm (No. 123)
Inequivalent atoms, fractional coordinates:
Be: 0.000 0.000 0.000 (multiplicity 1)
Te: 0.500 0.500 0.000 (multiplicity 1)
Se: 0.500 0.500 0.500 (multiplicity 1)
N: 0.000 0.500 0.500 (multiplicity 2)

Computed properties:
N(E_F) = 1.916 states/eV/cell

***

What should be chosen as the least stable of them? Choose 3.

***

1 | A plane-wave DFT calculation with PBE was carried out for crystalline BeTeSeN2 at its relaxed geometry.

Lattice parameters (Å, degrees): 3.733 3.733 6.514 90.00 90.00 90.00
Space group P4/mmm (No. 123)
Inequivalent atoms, fractional coordinates:
Be: 0.000 0.000 0.000 (multiplicity 1)
Te: 0.000 0.000 0.500 (multiplicity 1)
Se: 0.500 0.500 0.500 (multiplicity 1)
N: 0.000 0.500 0.000 (multiplicity 2)

Computed properties:
N(E_F) = 3.212 states/eV/cell

***

2 | A plane-wave DFT calculation with PBE was carried out for crystalline BeTeSeN2 at its relaxed geometry.

Lattice parameters (Å, degrees): 4.046 4.046 4.306 90.00 90.00 90.00
Space group P4/mmm (No. 123)
Inequivalent atoms, fractional coordinates:
Be: 0.000 0.000 0.000 (multiplicity 1)
Te: 0.500 0.500 0.000 (multiplicity 1)
Se: 0.000 0.000 0.500 (multiplicity 1)
N: 0.000 0.500 0.500 (multiplicity 2)

Computed properties:
N(E_F) = 3.474 states/eV/cell

***

What should be chosen as the least stable of them? Choose 2.

***

1 | A plane-wave DFT calculation with PBE was carried out for crystalline TiBeSe2N at its relaxed geometry.

Lattice parameters (Å, degrees): 5.070 5.070 3.707 90.00 90.00 90.00
Space group P4/mmm (No. 123)
Inequivalent atoms, fractional coordinates:
Ti: 0.000 0.000 0.000 (multiplicity 1)
Be: 0.500 0.500 0.500 (multiplicity 1)
Se: 0.000 0.500 0.000 (multiplicity 2)
N: 0.000 0.000 0.500 (multiplicity 1)

Computed properties:
N(E_F) = 4.485 states/eV/cell

***

2 | A plane-wave DFT calculation with PBE was carried out for crystalline TiBeSe2N at its relaxed geometry.

Lattice parameters (Å, degrees): 4.856 4.856 3.138 90.00 90.00 90.00
Space group P4/mmm (No. 123)
Inequivalent atoms, fractional coordinates:
Ti: 0.000 0.000 0.000 (multiplicity 1)
Be: 0.500 0.500 0.500 (multiplicity 1)
Se: 0.000 0.500 0.500 (multiplicity 2)
N: 0.500 0.500 0.000 (multiplicity 1)

Computed properties:
N(E_F) = 3.367 states/eV/cell

***

What should be chosen as the least stable of them? Choose 1.

***

1 | A plane-wave DFT calculation with PBE was carried out for crystalline BeWSeN2 at its relaxed geometry.

Lattice parameters (Å, degrees): 3.603 3.603 4.508 90.00 90.00 90.00
Space group P4/mmm (No. 123)
Inequivalent atoms, fractional coordinates:
Be: 0.000 0.000 0.000 (multiplicity 1)
W: 0.500 0.500 0.500 (multiplicity 1)
Se: 0.000 0.000 0.500 (multiplicity 1)
N: 0.000 0.500 0.000 (multiplicity 2)

Computed properties:
N(E_F) = 2.252 states/eV/cell

***

2 | A plane-wave DFT calculation with PBE was carried out for crystalline BeWSeN2 at its relaxed geometry.

Lattice parameters (Å, degrees): 3.845 3.845 5.379 90.00 90.00 90.00
Space group P4/mmm (No. 123)
Inequivalent atoms, fractional coordinates:
Be: 0.000 0.000 0.000 (multiplicity 1)
W: 0.500 0.500 0.500 (multiplicity 1)
Se: 0.500 0.500 0.000 (multiplicity 1)
N: 0.000 0.500 0.500 (multiplicity 2)

Computed properties:
N(E_F) = 2.334 states/eV/cell

***

What should be chosen as the least stable of them? Choose 1.

***

1 | A plane-wave DFT calculation with PBE was carried out for crystalline YBeSeN2 at its relaxed geometry.

Lattice parameters (Å, degrees): 4.336 4.336 5.863 90.00 90.00 90.00
Space group P4/mmm (No. 123)
Inequivalent atoms, fractional coordinates:
Y: 0.000 0.000 0.000 (multiplicity 1)
Be: 0.500 0.500 0.500 (multiplicity 1)
Se: 0.000 0.000 0.500 (multiplicity 1)
N: 0.000 0.500 0.000 (multiplicity 2)

Computed properties:
N(E_F) = 2.544 states/eV/cell

***

2 | A plane-wave DFT calculation with PBE was carried out for crystalline YBeSeN2 at its relaxed geometry.

Lattice parameters (Å, degrees): 3.830 3.830 4.645 90.00 90.00 90.00
Space group P4/mmm (No. 123)
Inequivalent atoms, fractional coordinates:
Y: 0.000 0.000 0.000 (multiplicity 1)
Be: 0.500 0.500 0.500 (multiplicity 1)
Se: 0.500 0.500 0.000 (multiplicity 1)
N: 0.000 0.500 0.500 (multiplicity 2)

Computed properties:
N(E_F) = 3.874 states/eV/cell

***

What should be chosen as the least stable of them? Choose 1.

***

1 | A plane-wave DFT calculation with PBE was carried out for crystalline YBeSe2N at its relaxed geometry.

Lattice parameters (Å, degrees): 4.962 4.962 3.432 90.00 90.00 90.00
Space group P4/mmm (No. 123)
Inequivalent atoms, fractional coordinates:
Y: 0.000 0.000 0.000 (multiplicity 1)
Be: 0.500 0.500 0.500 (multiplicity 1)
Se: 0.000 0.500 0.500 (multiplicity 2)
N: 0.500 0.500 0.000 (multiplicity 1)

Computed properties:
N(E_F) = 2.007 states/eV/cell

***

2 | A plane-wave DFT calculation with PBE was carried out for crystalline YBeSe2N at its relaxed geometry.

Lattice parameters (Å, degrees): 5.504 5.504 4.390 90.00 90.00 90.00
Space group P4/mmm (No. 123)
Inequivalent atoms, fractional coordinates:
Y: 0.000 0.000 0.000 (multiplicity 1)
Be: 0.500 0.500 0.500 (multiplicity 1)
Se: 0.000 0.500 0.000 (multiplicity 2)
N: 0.000 0.000 0.500 (multiplicity 1)

Computed properties:
N(E_F) = 2.853 states/eV/cell

***

What should be chosen as the least stable of them? Choose 2.

***

1 | A plane-wave DFT calculation with PBE was carried out for crystalline BeZnSe2N at its relaxed geometry.

Lattice parameters (Å, degrees): 5.200 5.200 2.993 90.00 90.00 90.00
Space group P4/mmm (No. 123)
Inequivalent atoms, fractional coordinates:
Be: 0.000 0.000 0.000 (multiplicity 1)
Zn: 0.500 0.500 0.500 (multiplicity 1)
Se: 0.000 0.500 0.000 (multiplicity 2)
N: 0.000 0.000 0.500 (multiplicity 1)

Computed properties:
N(E_F) = 4.281 states/eV/cell

***

2 | A plane-wave DFT calculation with PBE was carried out for crystalline BeZnSe2N at its relaxed geometry.

Lattice parameters (Å, degrees): 5.049 5.049 3.597 90.00 90.00 90.00
Space group P4/mmm (No. 123)
Inequivalent atoms, fractional coordinates:
Be: 0.000 0.000 0.000 (multiplicity 1)
Zn: 0.500 0.500 0.500 (multiplicity 1)
Se: 0.000 0.500 0.500 (multiplicity 2)
N: 0.500 0.500 0.000 (multiplicity 1)

Computed properties:
N(E_F) = 4.762 states/eV/cell

***

What should be chosen as the least stable of them? Choose 2.

***

1 | A plane-wave DFT calculation with PBE was carried out for crystalline ZrBeSeN2 at its relaxed geometry.

Lattice parameters (Å, degrees): 4.043 4.043 5.805 90.00 90.00 90.00
Space group P4/mmm (No. 123)
Inequivalent atoms, fractional coordinates:
Zr: 0.000 0.000 0.000 (multiplicity 1)
Be: 0.500 0.500 0.500 (multiplicity 1)
Se: 0.000 0.000 0.500 (multiplicity 1)
N: 0.000 0.500 0.000 (multiplicity 2)

Computed properties:
N(E_F) = 2.586 states/eV/cell

***

2 | A plane-wave DFT calculation with PBE was carried out for crystalline ZrBeSeN2 at its relaxed geometry.

Lattice parameters (Å, degrees): 3.685 3.685 4.634 90.00 90.00 90.00
Space group P4/mmm (No. 123)
Inequivalent atoms, fractional coordinates:
Zr: 0.000 0.000 0.000 (multiplicity 1)
Be: 0.500 0.500 0.500 (multiplicity 1)
Se: 0.500 0.500 0.000 (multiplicity 1)
N: 0.000 0.500 0.500 (multiplicity 2)

Computed properties:
N(E_F) = 3.719 states/eV/cell

***

What should be chosen as the least stable of them? Choose 1.

***

1 | A plane-wave DFT calculation with PBE was carried out for crystalline BeSi2N at its relaxed geometry.

Lattice parameters (Å, degrees): 4.753 4.753 9.090 90.00 90.00 90.00
Space group I-42d (No. 122)
Inequivalent atoms, fractional coordinates:
Be: 0.000 0.000 0.000 (multiplicity 4)
Si: 0.202 0.250 0.625 (multiplicity 8)
N: 0.000 0.000 0.500 (multiplicity 4)

Computed properties:
N(E_F) = 7.947 states/eV/cell

***

2 | A plane-wave DFT calculation with PBE was carried out for crystalline BeSi2N at its relaxed geometry.

Lattice parameters (Å, degrees): 5.555 5.555 5.555 90.00 90.00 90.00
Space group Fm-3m (No. 225)
Inequivalent atoms, fractional coordinates:
Be: 0.000 0.000 0.000 (multiplicity 4)
Si: 0.250 0.250 0.250 (multiplicity 8)
N: 0.000 0.000 0.500 (multiplicity 4)

Computed properties:
N(E_F) = 9.549 states/eV/cell

***

What should be chosen as the least stable of them? Choose 2.